Computed, not measured: a relaxed Sr2CuP crystal at the GGA-PBEsol level of DFT.

Cell and atoms, written as POSCAR:
```
Sr2CuP
1.0
5.0786 0.0000 0.0000
2.5393 4.3982 0.0000
2.5393 1.4661 4.1467
Sr P Cu
2 1 1
direct
0.7500 0.7500 0.7500
0.0000 0.0000 0.0000
0.2500 0.2500 0.2500
0.5000 0.5000 0.5000
```

Formation energy from the elements: 0.095 eV/atom

Computed, not measured: a relaxed CrTc2Ru crystal at the GGA-PBEsol level of DFT.

Cell and atoms, written as POSCAR:
```
CrTc2Ru
1.0
-1.6235 1.6126 -2.9752
2.7189 -1.3431 -2.2116
-2.5657 -3.2514 2.0054
Tc Cr Ru
2 1 1
direct
0.0000 0.0000 0.0000
0.7500 0.2500 0.5000
0.5000 0.5000 0.0000
0.2500 0.7500 0.5000
```

Formation energy from the elements: 0.129 eV/atom
E above lowest polymorph: 0 meV per atom

Computed, not measured: a relaxed AgBiW3 crystal at the GGA-PBEsol level of DFT.

Cell and atoms, written as POSCAR:
```
AgBiW3
1.0
4.9497 0.0000 0.0000
0.0000 4.9497 0.0000
0.0000 0.0000 4.9497
Ag W Bi
1 3 1
direct
0.5000 0.5000 0.5000
0.0000 0.5000 0.0000
0.0000 0.0000 0.5000
0.5000 0.0000 0.0000
0.0000 0.0000 0.0000
```

Formation energy from the elements: 3.319 eV/atom

Computed, not measured: a relaxed CdBS3 crystal at the GGA-PBEsol level of DFT.

Cell and atoms, written as POSCAR:
```
CdBS3
1.0
-1.4872 0.7550 3.8833
0.4767 -4.0842 0.9766
3.9272 0.7817 1.3520
B S Cd
1 3 1
direct
0.0000 0.0000 0.0000
0.5000 0.0000 0.0000
0.0000 0.5000 0.0000
0.0000 0.0000 0.5000
0.5000 0.5000 0.5000
```

E: -19.1 eV/cell

Spin magnetization list, top to bottom, in μB/f.u.: 0.0 0.0 0.0 0.0